Record 1
Computed, not measured: LiPdO4 after structural relaxation at the GGA-PBE level of DFT.

Energy = -4.65 eV/atom
Energy above the most stable polymorph in this dataset = 0.319 eV per atom

```
data_LiPdO4
_cell_length_a 4.5971
_cell_length_b 3.0375
_cell_length_c 8.7946
_cell_angle_alpha 90.00
_cell_angle_beta 90.87
_cell_angle_gamma 90.00
_symmetry_space_group_name_H-M 'P 1 2/c 1'
_symmetry_Int_Tables_number 13
loop_
_symmetry_equiv_pos_as_xyz
'x,y,z'
'-x,-y,-z'
'-x,y,-z+1/2'
'x,-y,z+1/2'
loop_
_atom_site_label
_atom_site_type_symbol
_atom_site_fract_x
_atom_site_fract_y
_atom_site_fract_z
_atom_site_occupancy
Li1 Li 0.0000 0.0000 0.0000 1
Pd1 Pd 0.5000 0.4262 0.2500 1
O1 O 0.2106 0.4861 0.1004 1
O2 O 0.3013 0.0590 0.8517 1
```

Record 2
Computed, not measured: Li6Pd4O11 after structural relaxation at the GGA-PBE level of DFT.

Energy = -5.06 eV/atom
Energy above the most stable polymorph in this dataset = 0.076 eV per atom

```
data_Li6Pd4O11
_cell_length_a 5.0362
_cell_length_b 5.1100
_cell_length_c 8.7308
_cell_angle_alpha 83.41
_cell_angle_beta 73.58
_cell_angle_gamma 80.03
_symmetry_space_group_name_H-M 'P 1'
_symmetry_Int_Tables_number 1
loop_
_symmetry_equiv_pos_as_xyz
'x,y,z'
loop_
_atom_site_label
_atom_site_type_symbol
_atom_site_fract_x
_atom_site_fract_y
_atom_site_fract_z
_atom_site_occupancy
Li1 Li 0.0000 0.0000 0.0000 1
Li2 Li 0.0349 0.2100 0.4318 1
Li3 Li 0.1506 0.4625 0.8480 1
Li4 Li 0.4295 0.4595 0.5293 1
Li5 Li 0.5180 0.7083 0.9219 1
Li6 Li 0.5720 0.9892 0.3891 1
Pd1 Pd 0.2054 0.7253 0.2519 1
Pd2 Pd 0.7012 0.2057 0.7800 1
Pd3 Pd 0.7758 0.4524 0.1790 1
Pd4 Pd 0.8672 0.7185 0.6011 1
O1 O 0.0545 0.3536 0.6430 1
O2 O 0.1242 0.6141 0.0619 1
O3 O 0.2320 0.8336 0.4602 1
O4 O 0.3635 0.0905 0.9154 1
O5 O 0.4053 0.3662 0.3047 1
O6 O 0.5149 0.5714 0.7250 1
O7 O 0.6715 0.0963 0.5744 1
O8 O 0.7866 0.3741 0.9595 1
O9 O 0.8151 0.6086 0.3866 1
O10 O 0.9044 0.8378 0.8029 1
O11 O 0.9260 0.0656 0.2404 1
```

Record 3
Computed, not measured: Li2Pd2O5 after structural relaxation at the GGA-PBE level of DFT.

Energy = -4.73 eV/atom
Energy above the most stable polymorph in this dataset = 0.139 eV per atom

```
data_Li2Pd2O5
_cell_length_a 3.3323
_cell_length_b 3.3323
_cell_length_c 7.9944
_cell_angle_alpha 90.00
_cell_angle_beta 90.00
_cell_angle_gamma 90.00
_symmetry_space_group_name_H-M 'P 4/m m m'
_symmetry_Int_Tables_number 123
_symmetry_space_group_name_Hall '-P 4 2'
loop_
_atom_site_label
_atom_site_type_symbol
_atom_site_fract_x
_atom_site_fract_y
_atom_site_fract_z
_atom_site_occupancy
Li1 Li 0.0000 0.0000 0.2333 1
Pd1 Pd 0.5000 0.5000 0.0000 1
Pd2 Pd 0.5000 0.5000 0.5000 1
O1 O 0.0000 0.0000 0.0000 1
O2 O 0.0000 0.5000 0.3483 1
```

Record 4
Computed, not measured: LiPdO4 after structural relaxation at the GGA-PBE level of DFT.

Energy = -4.65 eV/atom
Energy above the most stable polymorph in this dataset = 0.322 eV per atom

```
data_LiPdO4
_cell_length_a 6.4348
_cell_length_b 6.3286
_cell_length_c 3.0418
_cell_angle_alpha 90.00
_cell_angle_beta 90.13
_cell_angle_gamma 90.00
_symmetry_space_group_name_H-M 'C 1 m 1'
_symmetry_Int_Tables_number 8
loop_
_symmetry_equiv_pos_as_xyz
'x,y,z'
'x,-y,z'
'x+1/2,y+1/2,z'
'x+1/2,-y+1/2,z'
loop_
_atom_site_label
_atom_site_type_symbol
_atom_site_fract_x
_atom_site_fract_y
_atom_site_fract_z
_atom_site_occupancy
Li1 Li 0.0000 0.0000 0.0000 1
Pd1 Pd 0.0000 0.5000 0.5337 1
O1 O 0.9997 0.2047 0.4995 1
O2 O 0.1999 0.5000 0.0242 1
O3 O 0.3001 0.0000 0.0220 1
```

Record 5
Computed, not measured: Li3PdO4 after structural relaxation at the GGA-PBE level of DFT.

Energy = -5.08 eV/atom
Energy above the most stable polymorph in this dataset = 0.003 eV per atom

```
data_Li3PdO4
_cell_length_a 9.6180
_cell_length_b 2.9821
_cell_length_c 5.0202
_cell_angle_alpha 90.00
_cell_angle_beta 101.71
_cell_angle_gamma 90.00
_symmetry_space_group_name_H-M 'C 1 2/m 1'
_symmetry_Int_Tables_number 12
loop_
_symmetry_equiv_pos_as_xyz
'x,y,z'
'-x,-y,-z'
'-x,y,-z'
'x,-y,z'
'x+1/2,y+1/2,z'
'-x+1/2,-y+1/2,-z'
'-x+1/2,y+1/2,-z'
'x+1/2,-y+1/2,z'
loop_
_atom_site_label
_atom_site_type_symbol
_atom_site_fract_x
_atom_site_fract_y
_atom_site_fract_z
_atom_site_occupancy
Li1 Li 0.0000 0.0000 0.0000 1
Li2 Li 0.2487 0.5000 0.2313 1
Pd1 Pd 0.0000 0.5000 0.5000 1
O1 O 0.1191 0.0000 0.3881 1
O2 O 0.1217 0.5000 0.8656 1
```

Record 6
Computed, not measured: Li8Pd4O11 after structural relaxation at the GGA-PBE level of DFT.

Energy = -5.18 eV/atom
Energy above the most stable polymorph in this dataset = 0.004 eV per atom

```
data_Li8Pd4O11
_cell_length_a 5.0549
_cell_length_b 5.0942
_cell_length_c 8.8268
_cell_angle_alpha 84.91
_cell_angle_beta 73.76
_cell_angle_gamma 80.14
_symmetry_space_group_name_H-M 'P 1'
_symmetry_Int_Tables_number 1
loop_
_symmetry_equiv_pos_as_xyz
'x,y,z'
loop_
_atom_site_label
_atom_site_type_symbol
_atom_site_fract_x
_atom_site_fract_y
_atom_site_fract_z
_atom_site_occupancy
Li1 Li 0.0000 0.0000 0.0000 1
Li2 Li 0.0535 0.2337 0.4171 1
Li3 Li 0.1653 0.4956 0.8322 1
Li4 Li 0.3328 0.9930 0.6632 1
Li5 Li 0.4968 0.4991 0.5099 1
Li6 Li 0.5833 0.7521 0.9138 1
Li7 Li 0.6810 0.9654 0.3301 1
Li8 Li 0.8456 0.5115 0.1486 1
Pd1 Pd 0.2560 0.7302 0.2424 1
Pd2 Pd 0.4095 0.2606 0.0875 1
Pd3 Pd 0.7491 0.2430 0.7485 1
Pd4 Pd 0.9182 0.7403 0.5784 1
O1 O 0.0447 0.1362 0.2074 1
O2 O 0.1129 0.3728 0.6223 1
O3 O 0.2135 0.6208 0.0405 1
O4 O 0.2892 0.8473 0.4510 1
O5 O 0.3870 0.1242 0.8699 1
O6 O 0.5578 0.6127 0.7043 1
O7 O 0.6090 0.8843 0.1306 1
O8 O 0.7043 0.1097 0.5452 1
O9 O 0.7803 0.3639 0.9552 1
O10 O 0.8889 0.6105 0.3725 1
O11 O 0.9585 0.8749 0.7795 1
```

Record 7
Computed, not measured: Li6Pd4O11 after structural relaxation at the GGA-PBE level of DFT.

Energy = -5.14 eV/atom
Energy above the most stable polymorph in this dataset = 0.000 eV per atom

```
data_Li6Pd4O11
_cell_length_a 5.0092
_cell_length_b 5.1336
_cell_length_c 8.8634
_cell_angle_alpha 92.19
_cell_angle_beta 106.14
_cell_angle_gamma 99.44
_symmetry_space_group_name_H-M 'P 1'
_symmetry_Int_Tables_number 1
loop_
_symmetry_equiv_pos_as_xyz
'x,y,z'
loop_
_atom_site_label
_atom_site_type_symbol
_atom_site_fract_x
_atom_site_fract_y
_atom_site_fract_z
_atom_site_occupancy
Li1 Li 0.0000 0.0000 0.0000 1
Li2 Li 0.0006 0.0184 0.6697 1
Li3 Li 0.4943 0.7633 0.0862 1
Li4 Li 0.5276 0.2495 0.6116 1
Li5 Li 0.9857 0.5468 0.1434 1
Li6 Li 0.9878 0.5115 0.5262 1
Pd1 Pd 0.4931 0.7503 0.7553 1
Pd2 Pd 0.4938 0.2672 0.9213 1
Pd3 Pd 0.4982 0.2568 0.2605 1
Pd4 Pd 0.4979 0.7542 0.4153 1
O1 O 0.2592 0.8523 0.5510 1
O2 O 0.2623 0.3724 0.0622 1
O3 O 0.2616 0.8912 0.2207 1
O4 O 0.2618 0.9017 0.8763 1
O5 O 0.2646 0.3780 0.7133 1
O6 O 0.7144 0.1360 0.4626 1
O7 O 0.7202 0.6401 0.6168 1
O8 O 0.7238 0.6387 0.9572 1
O9 O 0.7325 0.1132 0.8033 1
O10 O 0.7358 0.1664 0.1224 1
O11 O 0.7422 0.6120 0.3014 1
```

Record 8
Computed, not measured: Li3PdO4 after structural relaxation at the GGA-PBE level of DFT.

Energy = -5.08 eV/atom
Energy above the most stable polymorph in this dataset = 0.000 eV per atom

```
data_Li3PdO4
_cell_length_a 5.0316
_cell_length_b 5.8482
_cell_length_c 5.0930
_cell_angle_alpha 90.00
_cell_angle_beta 109.99
_cell_angle_gamma 90.00
_symmetry_space_group_name_H-M 'P 1 2/c 1'
_symmetry_Int_Tables_number 13
loop_
_symmetry_equiv_pos_as_xyz
'x,y,z'
'-x,-y,-z'
'-x,y,-z+1/2'
'x,-y,z+1/2'
loop_
_atom_site_label
_atom_site_type_symbol
_atom_site_fract_x
_atom_site_fract_y
_atom_site_fract_z
_atom_site_occupancy
Li1 Li 0.0000 0.1036 0.2500 1
Li2 Li 0.0000 0.3642 0.7500 1
Li3 Li 0.5000 0.1184 0.7500 1
Pd1 Pd 0.5000 0.3643 0.2500 1
O1 O 0.2532 0.1321 0.0122 1
O2 O 0.2642 0.3841 0.4979 1
```